Here is crystalline ZnFeBOs at its relaxed geometry from OQMD via LeMat-Bulk. Energies are from PBE-GGA.

Lattice parameters (Å, degrees): 3.9905 3.9905 3.9905 60.00 60.00 60.00
Atoms (fractional coordinates):
Zn 0.0000 0.0000 0.0000
Fe 0.7500 0.7500 0.7500
B 0.5000 0.5000 0.5000
Os 0.2500 0.2500 0.2500

energy above the lowest structure with this stoichiometry	0	meV per atom
final energy	-6.4049	eV/atom
magnetic moment	2.03	Bohr magnetons per cell